Material: FeIrO3
Method: DFT, GGA+U
State: optimized geometry

abc: 3.666 3.666 3.666
angles: 90.00 90.00 90.00
Fractional positions:
Fe (0.000, 0.000, 0.000)
Ir (0.500, 0.500, 0.500)
O (0.000, 0.000, 0.500)
O (0.000, 0.500, 0.000)
O (0.500, 0.000, 0.000)

Values from the calculation:
The volume is 9.85 Å³/atom. As for the symmetry: No. 221. The calculation puts the total energy at -5.2805 eV/atom. The value obtained for the density of states at the Fermi level is 4.78 states/eV/cell. As for the magnetic moment: 0.00 μB/cell.